(1)
Material: Pm5SiSn4
Method: DFT, PBE-GGA
State: optimized geometry

Results
Symmetry: I4/m (87)
D(E_F) (states/eV/f.u.): 9.4
M_tot (Bohr magnetons per cell): 0.000
E_tot (eV per atom): -5.053
V (Å³ per cell): 309.5
Uncorrected formation energy (meV per atom): -534

Cell: 7.6885 7.6885 7.6885 Å, 99.62 99.62 131.73°
Atoms (fractional coordinates):
Pm (0.0000, 0.0000, 0.0000)
Pm (0.2202, 0.4007, 0.6209)
Pm (0.4007, 0.7798, 0.1806)
Pm (0.5993, 0.2202, 0.8194)
Pm (0.7798, 0.5993, 0.3791)
Si (0.5000, 0.5000, 0.0000)
Sn (0.0880, 0.6921, 0.7801)
Sn (0.3080, 0.0880, 0.3960)
Sn (0.6921, 0.9120, 0.6040)
Sn (0.9120, 0.3080, 0.2199)


(2)
Material: Cu3SiPd4
Method: DFT, PBE-GGA
State: optimized geometry

Results
Symmetry: I4/mmm (139)
D(E_F) (states/eV/f.u.): 2.5
M_tot (Bohr magnetons per cell): 0.000
E_tot (eV per atom): -5.131
V (Å³ per cell): 109.1
Uncorrected formation energy (meV per atom): -320

Cell: 6.6186 6.6186 6.6186 Å, 142.01 142.01 54.82°
Atoms (fractional coordinates):
Cu (0.0000, 0.0000, 0.0000)
Cu (0.2482, 0.2482, 0.0000)
Cu (0.7518, 0.7518, 0.0000)
Si (0.5000, 0.5000, 0.0000)
Pd (0.1206, 0.6206, 0.5000)
Pd (0.3794, 0.8794, 0.5000)
Pd (0.6206, 0.1206, 0.5000)
Pd (0.8794, 0.3794, 0.5000)


(3)
Material: Tl3TeMo
Method: DFT, PBE-GGA
State: optimized geometry

Results
Symmetry: Pm-3m (221)
D(E_F) (states/eV/f.u.): 2.9
M_tot (Bohr magnetons per cell): 3.061
E_tot (eV per atom): -3.593
V (Å³ per cell): 167.1
Uncorrected formation energy (meV per atom): 621

Cell: 5.5078 5.5078 5.5078 Å, 90.00 90.00 90.00°
Atoms (fractional coordinates):
Tl (0.0000, 0.0000, 0.5000)
Tl (0.0000, 0.5000, 0.0000)
Tl (0.5000, 0.0000, 0.0000)
Te (0.5000, 0.5000, 0.5000)
Mo (0.0000, 0.0000, 0.0000)


(4)
Material: Nd3BeNi3
Method: DFT, PBE-GGA
State: optimized geometry

Results
Symmetry: Cmcm (63)
DFT formation energy (meV/atom): -270
D(E_F) (states/eV/f.u.): 6.0
M_tot (Bohr magnetons per cell): 0.000
E_tot (eV per atom): -5.323
V (Å³ per cell): 276.3

Cell: 5.5548 5.5548 13.7423 Å, 90.00 90.00 139.34°
Atoms (fractional coordinates):
Nd (0.0066, 0.9934, 0.7500)
Nd (0.2721, 0.7279, 0.1050)
Nd (0.2721, 0.7279, 0.3950)
Nd (0.7279, 0.2721, 0.6050)
Nd (0.7279, 0.2721, 0.8950)
Nd (0.9934, 0.0066, 0.2500)
Be (0.0000, 0.0000, 0.0000)
Be (0.0000, 0.0000, 0.5000)
Ni (0.3062, 0.6938, 0.7500)
Ni (0.4418, 0.5582, 0.5792)
Ni (0.4418, 0.5582, 0.9208)
Ni (0.5582, 0.4418, 0.0792)
Ni (0.5582, 0.4418, 0.4208)
Ni (0.6938, 0.3062, 0.2500)


(5)
Material: LiEr3Se4
Method: DFT, PBE-GGA
State: optimized geometry

Results
Symmetry: Pmmn (59)
D(E_F) (states/eV/f.u.): 2.4
M_tot (Bohr magnetons per cell): 0.857
E_tot (eV per atom): -5.243
V (Å³ per cell): 429.4
Uncorrected formation energy (meV per atom): -1551

Cell: 5.6556 9.1730 8.2773 Å, 90.00 90.00 90.00°
Atoms (fractional coordinates):
Li (0.2500, 0.2500, 0.1089)
Li (0.7500, 0.7500, 0.8911)
Er (0.2500, 0.5363, 0.6599)
Er (0.2500, 0.7500, 0.2415)
Er (0.2500, 0.9637, 0.6599)
Er (0.7500, 0.0363, 0.3401)
Er (0.7500, 0.2500, 0.7585)
Er (0.7500, 0.4637, 0.3401)
Se (0.2500, 0.0441, 0.3327)
Se (0.2500, 0.2500, 0.7848)
Se (0.2500, 0.4559, 0.3327)
Se (0.2500, 0.7500, 0.9011)
Se (0.7500, 0.2500, 0.0989)
Se (0.7500, 0.5441, 0.6673)
Se (0.7500, 0.7500, 0.2152)
Se (0.7500, 0.9559, 0.6673)


(6)
Material: Sm3Mg2Cd7
Method: DFT, PBE-GGA
State: optimized geometry

Results
Symmetry: P2/m (10)
DFT formation energy (meV/atom): -177
D(E_F) (states/eV/f.u.): 5.4
M_tot (Bohr magnetons per cell): 0.000
E_tot (eV per atom): -2.156
V (Å³ per cell): 311.0

Cell: 5.2118 4.8356 12.3392 Å, 90.00 90.13 90.00°
Atoms (fractional coordinates):
Sm (0.0000, 0.0000, 0.0000)
Sm (0.4973, 0.5000, 0.6744)
Sm (0.5027, 0.5000, 0.3256)
Mg (0.0025, 0.0000, 0.2875)
Mg (0.9975, 0.0000, 0.7125)
Cd (0.0019, 0.5000, 0.1603)
Cd (0.2500, 0.0000, 0.5007)
Cd (0.4987, 0.0000, 0.8466)
Cd (0.5000, 0.5000, 0.0000)
Cd (0.5013, 0.0000, 0.1534)
Cd (0.7500, 0.0000, 0.4993)
Cd (0.9981, 0.5000, 0.8397)


(7)
Material: AlCo3Sb
Method: DFT, PBE-GGA
State: optimized geometry

Results
Symmetry: Pm-3m (221)
D(E_F) (states/eV/f.u.): 1.6
M_tot (Bohr magnetons per cell): 2.999
E_tot (eV per atom): -4.702
V (Å³ per cell): 96.4
Uncorrected formation energy (meV per atom): 1135

Cell: 4.5853 4.5853 4.5853 Å, 90.00 90.00 90.00°
Atoms (fractional coordinates):
Al (0.0000, 0.0000, 0.0000)
Co (0.0000, 0.5000, 0.5000)
Co (0.5000, 0.0000, 0.5000)
Co (0.5000, 0.5000, 0.0000)
Sb (0.5000, 0.5000, 0.5000)


(8)
Material: InTcPt2
Method: DFT, PBE-GGA
State: optimized geometry

Results
Symmetry: R-3m (166)
DFT formation energy (meV/atom): -6
D(E_F) (states/eV/f.u.): 5.0
M_tot (Bohr magnetons per cell): 0.000
E_tot (eV per atom): -6.303
V (Å³ per cell): 66.2

Cell: 9.2823 9.2823 9.2823 Å, 17.93 17.93 17.93°
Atoms (fractional coordinates):
In (0.0000, 0.0000, 0.0000)
Tc (0.5000, 0.5000, 0.5000)
Pt (0.2464, 0.2464, 0.2464)
Pt (0.7536, 0.7536, 0.7536)


(9)
Material: BaNaNb
Method: DFT, PBE-GGA
State: optimized geometry

Results
Symmetry: Cm (8)
DFT formation energy (meV/atom): 696
D(E_F) (states/eV/f.u.): 2.8
M_tot (Bohr magnetons per cell): 0.000
E_tot (eV per atom): -3.742
V (Å³ per cell): 222.5

Cell: 6.2854 6.2854 6.9694 Å, 104.71 104.71 57.60°
Atoms (fractional coordinates):
Ba (0.0000, 0.0000, 0.0000)
Ba (0.2494, 0.2494, 0.5844)
Na (0.6409, 0.6409, 0.9032)
Na (0.8617, 0.8617, 0.3872)
Nb (0.3490, 0.3490, 0.1358)
Nb (0.5357, 0.5357, 0.3510)


(10)
Material: Th3Si2Ni7
Method: DFT, PBE-GGA
State: optimized geometry

Results
Symmetry: I4/mmm (139)
D(E_F) (states/eV/f.u.): 5.1
M_tot (Bohr magnetons per cell): 0.000
E_tot (eV per atom): -6.621
V (Å³ per cell): 201.7
Uncorrected formation energy (meV per atom): -490

Cell: 13.1338 13.1338 13.1338 Å, 162.64 162.64 24.65°
Atoms (fractional coordinates):
Th (0.0000, 0.0000, 0.0000)
Th (0.1730, 0.1730, 0.0000)
Th (0.8270, 0.8270, 0.0000)
Si (0.3788, 0.3788, 0.0000)
Si (0.6212, 0.6212, 0.0000)
Ni (0.0768, 0.5768, 0.5000)
Ni (0.2860, 0.2860, 0.0000)
Ni (0.4232, 0.9232, 0.5000)
Ni (0.5000, 0.5000, 0.0000)
Ni (0.5768, 0.0768, 0.5000)
Ni (0.7140, 0.7140, 0.0000)
Ni (0.9232, 0.4232, 0.5000)


(11)
Material: Ho2Ga7Cu12
Method: DFT, PBE-GGA
State: optimized geometry

Results
Symmetry: P-3 (147)
DFT formation energy (meV/atom): -184
D(E_F) (states/eV/f.u.): 6.8
M_tot (Bohr magnetons per cell): 0.000
E_tot (eV per atom): -3.969
V (Å³ per cell): 321.8

Cell: 9.8152 9.8152 3.8572 Å, 90.00 90.00 120.00°
Atoms (fractional coordinates):
Ho (0.3333, 0.6667, 0.2413)
Ho (0.6667, 0.3333, 0.7587)
Ga (0.0000, 0.0000, 0.5000)
Ga (0.1167, 0.7050, 0.7387)
Ga (0.2950, 0.4117, 0.7387)
Ga (0.4117, 0.1167, 0.2613)
Ga (0.5883, 0.8833, 0.7387)
Ga (0.7050, 0.5883, 0.2613)
Ga (0.8833, 0.2950, 0.2613)
Cu (0.0548, 0.4303, 0.7575)
Cu (0.1226, 0.2627, 0.2298)
Cu (0.1401, 0.8774, 0.2298)
Cu (0.2627, 0.1401, 0.7702)
Cu (0.3754, 0.9452, 0.7575)
Cu (0.4303, 0.3754, 0.2425)
Cu (0.5697, 0.6246, 0.7575)
Cu (0.6246, 0.0548, 0.2425)
Cu (0.7373, 0.8599, 0.2298)
Cu (0.8599, 0.1226, 0.7702)
Cu (0.8774, 0.7373, 0.7702)
Cu (0.9452, 0.5697, 0.2425)


(12)
Material: Rb3Tl5Br12
Method: DFT, PBE-GGA
State: optimized geometry

Results
Symmetry: Ia-3d (230)
D(E_F) (states/eV/f.u.): 11.3
M_tot (Bohr magnetons per cell): 0.001
E_tot (eV per atom): -2.689
V (Å³ per cell): 3506.6
Uncorrected formation energy (meV per atom): -948

Cell: 16.5769 16.5769 16.5769 Å, 109.47 109.47 109.47°
Atoms (fractional coordinates):
Rb (0.1250, 0.2500, 0.3750)
Rb (0.1250, 0.3750, 0.7500)
Rb (0.2500, 0.3750, 0.1250)
Rb (0.2500, 0.8750, 0.6250)
Rb (0.3750, 0.1250, 0.2500)
Rb (0.3750, 0.7500, 0.1250)
Rb (0.6250, 0.2500, 0.8750)
Rb (0.6250, 0.8750, 0.7500)
Rb (0.7500, 0.1250, 0.3750)
Rb (0.7500, 0.6250, 0.8750)
Rb (0.8750, 0.6250, 0.2500)
Rb (0.8750, 0.7500, 0.6250)
Tl (0.0000, 0.0000, 0.0000)
Tl (0.0000, 0.0000, 0.5000)
Tl (0.0000, 0.5000, 0.0000)
Tl (0.0000, 0.5000, 0.5000)
Tl (0.1250, 0.7500, 0.8750)
Tl (0.1250, 0.8750, 0.2500)
Tl (0.2500, 0.1250, 0.8750)
Tl (0.2500, 0.6250, 0.3750)
Tl (0.3750, 0.2500, 0.6250)
Tl (0.3750, 0.6250, 0.7500)
Tl (0.5000, 0.0000, 0.0000)
Tl (0.5000, 0.0000, 0.5000)
Tl (0.5000, 0.5000, 0.0000)
Tl (0.5000, 0.5000, 0.5000)
Tl (0.6250, 0.3750, 0.2500)
Tl (0.6250, 0.7500, 0.3750)
Tl (0.7500, 0.3750, 0.6250)
Tl (0.7500, 0.8750, 0.1250)
Tl (0.8750, 0.1250, 0.7500)
Tl (0.8750, 0.2500, 0.1250)
Br (0.0287, 0.2150, 0.1251)
Br (0.0287, 0.3137, 0.9036)
Br (0.0899, 0.7150, 0.6863)
Br (0.0899, 0.8749, 0.4036)
Br (0.0964, 0.6251, 0.4101)
Br (0.0964, 0.9713, 0.6863)
Br (0.1251, 0.0287, 0.2150)
Br (0.1251, 0.5964, 0.9101)
Br (0.1863, 0.2150, 0.5899)
Br (0.1863, 0.4713, 0.5964)
Br (0.2150, 0.1251, 0.0287)
Br (0.2150, 0.5899, 0.1863)
Br (0.2850, 0.3137, 0.9101)
Br (0.2850, 0.4713, 0.3749)
Br (0.3137, 0.9036, 0.0287)
Br (0.3137, 0.9101, 0.2850)
Br (0.3749, 0.2850, 0.4713)
Br (0.3749, 0.5899, 0.9036)
Br (0.4036, 0.0899, 0.8749)
Br (0.4036, 0.8137, 0.5287)
Br (0.4101, 0.0964, 0.6251)
Br (0.4101, 0.8137, 0.7850)
Br (0.4713, 0.3749, 0.2850)
Br (0.4713, 0.5964, 0.1863)
Br (0.5287, 0.4036, 0.8137)
Br (0.5287, 0.6251, 0.7150)
Br (0.5899, 0.1863, 0.2150)
Br (0.5899, 0.9036, 0.3749)
Br (0.5964, 0.1863, 0.4713)
Br (0.5964, 0.9101, 0.1251)
Br (0.6251, 0.4101, 0.0964)
Br (0.6251, 0.7150, 0.5287)
Br (0.6863, 0.0899, 0.7150)
Br (0.6863, 0.0964, 0.9713)
Br (0.7150, 0.5287, 0.6251)
Br (0.7150, 0.6863, 0.0899)
Br (0.7850, 0.4101, 0.8137)
Br (0.7850, 0.8749, 0.9713)
Br (0.8137, 0.5287, 0.4036)
Br (0.8137, 0.7850, 0.4101)
Br (0.8749, 0.4036, 0.0899)
Br (0.8749, 0.9713, 0.7850)
Br (0.9036, 0.0287, 0.3137)
Br (0.9036, 0.3749, 0.5899)
Br (0.9101, 0.1251, 0.5964)
Br (0.9101, 0.2850, 0.3137)
Br (0.9713, 0.6863, 0.0964)
Br (0.9713, 0.7850, 0.8749)